Entry 1:
A plane-wave DFT calculation with PBE-GGA was carried out for a geometry-optimized Tb6PmEr2Sc structure.

Geometry as POSCAR:
```
Tb6PmEr2Sc
1.0
-5.2058 -5.5525 5.3603
7.4985 -3.1239 3.2246
-3.1621 7.2835 3.6520
Tb Pm Er Sc
12 2 4 2
direct
0.0547 0.1251 0.7595
0.4453 0.2405 0.8749
0.9453 0.8749 0.2405
0.5547 0.7595 0.1251
0.3101 0.9999 0.4414
0.1899 0.5586 0.0001
0.6899 0.0001 0.5586
0.8101 0.4414 0.9999
0.1130 0.7093 0.4871
0.3870 0.5129 0.2907
0.8870 0.2907 0.5129
0.6130 0.4871 0.7093
0.2500 0.9736 0.0264
0.7500 0.0264 0.9736
0.4499 0.7950 0.6914
0.0501 0.3086 0.2050
0.5501 0.2050 0.3086
0.9499 0.6914 0.7950
0.2500 0.4166 0.5834
0.7500 0.5834 0.4166
```

Output
Space-group type ... C2/c, No. 15
Mass density ... 7790 kg/m³
E_tot ... -93.4 eV per cell
Energy relative to the elements ... 0.13 eV/atom

Entry 2:
A plane-wave DFT calculation with PBE-GGA was carried out for a geometry-optimized Y8Tm5Sc structure.

Geometry as POSCAR:
```
Y8Tm5Sc
1.0
7.9652 0.0000 -2.5484
-4.0643 6.7059 -2.9065
0.1634 0.0000 8.3613
Y Tm Sc
8 5 1
direct
0.1677 0.7338 0.0728
0.9272 0.0949 0.6610
0.7315 0.2544 0.3384
0.6616 0.3931 0.9160
0.5229 0.6069 0.2685
0.5661 0.9051 0.8323
0.3390 0.2662 0.4339
0.0840 0.7456 0.4771
0.0309 0.3160 0.1332
0.8668 0.8977 0.1829
0.8172 0.6840 0.7149
0.5000 0.0000 0.5000
0.2851 0.1023 0.9691
0.2500 0.5000 0.7500
```

Output
Space-group type ... I-4, No. 82
Mass density ... 5915 kg/m³
E_tot ... -76.7 eV per cell
Energy relative to the elements ... 0.26 eV/atom

Entry 3:
A plane-wave DFT calculation with PBE-GGA was carried out for a geometry-optimized Y3Tl2Cd4 structure.

Geometry as POSCAR:
```
Y3Tl2Cd4
1.0
-2.4089 4.3178 0.4458
-3.2515 -4.3869 -2.7216
0.6200 -0.6170 9.3256
Y Tl Cd
3 2 4
direct
0.6662 0.3323 0.6705
0.0000 0.0000 0.0000
0.3338 0.6677 0.3295
0.6072 0.2144 0.2712
0.3928 0.7856 0.7288
0.7139 0.4277 0.0401
0.2861 0.5723 0.9599
0.9289 0.8577 0.5910
0.0711 0.1423 0.4090
```

Output
Space-group type ... C2/m, No. 12
Mass density ... 8182 kg/m³
E_tot ... -30.6 eV per cell
Energy relative to the elements ... -0.32 eV/atom

Entry 4:
A plane-wave DFT calculation with PBE-GGA was carried out for a geometry-optimized KSmBeS3 structure.

Geometry as POSCAR:
```
KSmBeS3
1.0
-1.0704 3.6821 -0.8659
-8.5210 -2.7261 -1.0589
0.8962 2.3185 8.7508
K Sm Be S
2 2 2 6
direct
0.2500 0.1903 0.2246
0.7500 0.8097 0.7754
0.2500 0.6640 0.1562
0.7500 0.3360 0.8438
0.2500 0.0730 0.6023
0.7500 0.9270 0.3977
0.7500 0.8858 0.1631
0.2500 0.1142 0.8369
0.2500 0.8382 0.4760
0.7500 0.1618 0.5240
0.7500 0.4485 0.1610
0.2500 0.5515 0.8390
```

Output
Uncorrected formation energy ... -1.53 eV per atom
Space-group type ... P2_1/m, No. 11
Mass density ... 3167 kg/m³
E_tot ... -62.2 eV per cell

Entry 5:
A plane-wave DFT calculation with PBE-GGA was carried out for a geometry-optimized HfBrNF2 structure.

Geometry as POSCAR:
```
HfBrNF2
1.0
4.3395 0.0000 0.0000
0.0000 4.3395 0.0000
0.0000 0.0000 4.2493
N Hf Br F
1 1 1 2
direct
0.0000 0.0000 0.5000
0.5000 0.5000 0.5000
0.0000 0.0000 0.0000
0.0000 0.5000 0.0000
0.5000 0.0000 0.0000
```

Output
Uncorrected formation energy ... 0.68 eV per atom
Space-group type ... P4/mmm, No. 123
Mass density ... 6441 kg/m³
E_tot ... -20.3 eV per cell

Entry 6:
A plane-wave DFT calculation with PBE-GGA was carried out for a geometry-optimized Pm6AlAg2 structure.

Geometry as POSCAR:
```
Pm6AlAg2
1.0
-3.4156 0.2609 -8.1322
8.0035 -3.6994 -0.3542
-5.2070 -4.7654 5.2957
Pm Al Ag
12 2 4
direct
0.5567 0.7352 0.8215
0.4433 0.2648 0.1785
0.0863 0.2648 0.8215
0.9137 0.7352 0.1785
0.8013 0.7517 0.5531
0.1987 0.2483 0.4469
0.1987 0.7517 0.9504
0.8013 0.2483 0.0496
0.7290 0.4024 0.6734
0.2710 0.5976 0.3266
0.2710 0.9444 0.6734
0.7290 0.0556 0.3266
0.0000 0.5000 0.5000
0.0000 0.0000 0.0000
0.5000 0.3654 0.8654
0.5000 0.6346 0.1346
0.6412 0.0000 0.6412
0.3588 0.0000 0.3588
```

Output
Space-group type ... Immm, No. 71
Mass density ... 6987 kg/m³
E_tot ... -78.8 eV per cell
Energy relative to the elements ... -0.16 eV/atom

Entry 7:
A plane-wave DFT calculation with PBE-GGA was carried out for a geometry-optimized Tb2PrNd2Er2 structure.

Geometry as POSCAR:
```
Tb2PrNd2Er2
1.0
-0.5637 1.9477 2.9061
-1.9999 -5.6774 1.2568
8.7181 -5.8726 5.6269
Tb Pr Nd Er
2 1 2 2
direct
0.4495 0.8990 0.7714
0.5505 0.1010 0.2286
0.0000 0.0000 0.5000
0.6703 0.3406 0.9164
0.3297 0.6594 0.0836
0.7753 0.5506 0.3627
0.2247 0.4494 0.6373
```

Output
Space-group type ... C2/m, No. 12
Mass density ... 7641 kg/m³
E_tot ... -32.1 eV per cell
Energy relative to the elements ... 0.09 eV/atom

Entry 8:
A plane-wave DFT calculation with PBE-GGA was carried out for a geometry-optimized Mn2TlPdN structure.

Geometry as POSCAR:
```
Mn2TlPdN
1.0
-0.4071 0.8642 5.0250
2.5522 -2.6568 0.6637
3.7197 3.4982 -0.3002
Tl Mn Pd N
1 2 1 1
direct
0.5000 0.5000 0.5000
0.0000 0.0000 0.5000
0.5000 0.0000 0.0000
0.0000 0.0000 0.0000
0.0000 0.5000 0.0000
```

Output
Uncorrected formation energy ... 0.92 eV per atom
Space-group type ... P4/mmm, No. 123
Mass density ... 7370 kg/m³
E_tot ... -29.6 eV per cell

Entry 9:
A plane-wave DFT calculation with PBE-GGA was carried out for a geometry-optimized Ba2GePb structure.

Geometry as POSCAR:
```
Ba2GePb
1.0
-6.1085 2.8356 -1.1411
-1.6698 -6.7567 0.9481
2.0381 3.2695 6.1900
Pb Ge Ba
2 2 4
direct
0.3490 0.9774 0.7856
0.6510 0.0226 0.2144
0.0211 0.3879 0.3222
0.9789 0.6121 0.6778
0.1226 0.8556 0.2108
0.8774 0.1444 0.7892
0.4472 0.4836 0.7226
0.5528 0.5164 0.2774
```

Output
Space-group type ... P-1, No. 2
Mass density ... 6144 kg/m³
E_tot ... -28.2 eV per cell
Energy relative to the elements ... -0.48 eV/atom

Entry 10:
A plane-wave DFT calculation with PBE-GGA was carried out for a geometry-optimized LaU3P4 structure.

Geometry as POSCAR:
```
LaU3P4
1.0
-3.9650 -0.1807 0.3225
0.6466 -2.9126 6.3169
0.1621 5.0512 4.8232
P U La
4 3 1
direct
0.0000 0.7655 0.7346
0.5000 0.7571 0.2570
0.0000 0.2348 0.2653
0.4999 0.2431 0.7430
0.5000 0.0001 0.5000
0.0000 0.0001 0.0000
0.9999 0.5001 0.5000
0.5000 0.5001 0.0000
```

Output
Space-group type ... Cmmm, No. 65
Mass density ... 8826 kg/m³
E_tot ... -69.1 eV per cell
Energy relative to the elements ... -1.08 eV/atom

Entry 11:
A plane-wave DFT calculation with PBE-GGA was carried out for a geometry-optimized Sr3InO structure.

Geometry as POSCAR:
```
Sr3InO
1.0
15.9559 0.0000 -0.4228
6.6879 5.8420 -4.0295
-6.6879 5.8420 4.0295
Sr O In
12 4 4
direct
0.4109 0.2558 0.4135
0.0891 0.9135 0.7558
0.5891 0.7442 0.5865
0.9109 0.0865 0.2442
0.1086 0.2063 0.1774
0.3914 0.6774 0.7063
0.8914 0.7937 0.8226
0.6086 0.3226 0.2937
0.4612 0.1214 0.8059
0.0388 0.3059 0.6214
0.5388 0.8786 0.1941
0.9612 0.6941 0.3786
0.3575 0.1169 0.4836
0.1425 0.9836 0.6169
0.6425 0.8831 0.5164
0.8575 0.0164 0.3831
0.7500 0.2774 0.7774
0.2500 0.7226 0.2226
0.7500 0.5659 0.0659
0.2500 0.4341 0.9341
```

Output
Uncorrected formation energy ... -1.21 eV per atom
Space-group type ... C2/c, No. 15
Mass density ... 3641 kg/m³
E_tot ... -75.1 eV per cell

Entry 12:
A plane-wave DFT calculation with PBE-GGA was carried out for a geometry-optimized TaMnTc3 structure.

Geometry as POSCAR:
```
TaMnTc3
1.0
-3.0348 3.0118 1.8600
-2.0409 0.5131 -4.1608
-2.8923 -3.5223 0.9843
Mn Tc Ta
1 3 1
direct
0.5000 0.5000 0.5000
0.0000 0.5000 0.0000
0.0000 0.0000 0.5000
0.5000 0.0000 0.0000
0.0000 0.0000 0.0000
```

Output
Space-group type ... Pm-3m, No. 221
Mass density ... 8680 kg/m³
E_tot ... -41.2 eV per cell
Energy relative to the elements ... 2.18 eV/atom

Entry 13:
A plane-wave DFT calculation with PBE-GGA was carried out for a geometry-optimized Pr5Ge5Ir2 structure.

Geometry as POSCAR:
```
Pr5Ge5Ir2
1.0
4.2098 0.0000 0.9498
2.0736 7.7299 0.6134
0.1623 -0.3014 9.0854
Pr Ge Ir
5 5 2
direct
0.0000 0.5000 0.5000
0.6913 0.6951 0.9223
0.3743 0.9228 0.3286
0.6257 0.0772 0.6714
0.3087 0.3049 0.0777
0.7171 0.2268 0.3390
0.9453 0.3043 0.8051
0.0547 0.6957 0.1949
0.2829 0.7732 0.6610
0.0000 0.0000 0.0000
0.3821 0.4707 0.7650
0.6179 0.5293 0.2350
```

Output
Space-group type ... C2/m, No. 12
Mass density ... 8184 kg/m³
E_tot ... -73.5 eV per cell
Energy relative to the elements ... -0.74 eV/atom

Entry 14:
A plane-wave DFT calculation with PBE-GGA was carried out for a geometry-optimized AsPtW structure.

Geometry as POSCAR:
```
AsPtW
1.0
2.9338 0.0000 0.0000
-1.4669 2.5407 0.0000
0.0000 0.0000 6.5285
As W Pt
1 1 1
direct
0.0000 0.0000 0.9898
0.3333 0.6667 0.6695
0.6667 0.3333 0.3407
```

Output
Space-group type ... P3m1, No. 156
Mass density ... 15487 kg/m³
E_tot ... -23.3 eV per cell
Energy relative to the elements ... 0.12 eV/atom

Entry 15:
A plane-wave DFT calculation with PBE-GGA was carried out for a geometry-optimized CsSc2Hg2 structure.

Geometry as POSCAR:
```
CsSc2Hg2
1.0
-2.3389 -5.6739 -6.5226
4.2373 -6.6421 4.2585
-2.8712 -0.7521 1.6838
Cs Sc Hg
2 4 4
direct
0.0000 0.0000 0.0000
0.5000 0.5000 0.0000
0.3763 0.8763 0.0000
0.8763 0.6237 0.0000
0.6237 0.1237 0.0000
0.1237 0.3763 0.0000
0.1689 0.6689 0.5000
0.6689 0.8311 0.5000
0.8311 0.3311 0.5000
0.3311 0.1689 0.5000
```

Output
Space-group type ... P4/mbm, No. 127
Mass density ... 7572 kg/m³
E_tot ... -28.4 eV per cell
Energy relative to the elements ... -0.02 eV/atom

Entry 16:
A plane-wave DFT calculation with PBE-GGA was carried out for a geometry-optimized ThAg2Se4 structure.

Geometry as POSCAR:
```
ThAg2Se4
1.0
4.1779 0.0000 0.0000
-2.0890 6.7672 0.0000
0.0000 0.0000 12.3892
Th Ag Se
2 4 8
direct
0.5981 0.1963 0.7500
0.4019 0.8037 0.2500
0.1294 0.2588 0.4394
0.8706 0.7412 0.9394
0.1294 0.2588 0.0606
0.8706 0.7412 0.5606
0.7899 0.5798 0.1269
0.7899 0.5798 0.3731
0.2101 0.4202 0.8731
0.2101 0.4202 0.6269
0.9463 0.8927 0.7500
0.0537 0.1073 0.2500
0.5000 0.0000 0.0000
0.5000 0.0000 0.5000
```

Output
Uncorrected formation energy ... -0.70 eV per atom
Space-group type ... Cmcm, No. 63
Mass density ... 7240 kg/m³
E_tot ... -63.9 eV per cell

Entry 17:
A plane-wave DFT calculation with PBE-GGA was carried out for a geometry-optimized HfHS structure.

Geometry as POSCAR:
```
HfHS
1.0
0.7037 3.0905 1.4974
-0.0091 0.2979 3.4928
9.0485 -0.9765 1.8661
Hf H S
2 2 2
direct
0.8821 0.8821 0.3537
0.1179 0.1179 0.6463
0.8082 0.8082 0.5753
0.1918 0.1918 0.4247
0.3968 0.3968 0.8097
0.6032 0.6032 0.1903
```

Output
Space-group type ... R-3m, No. 166
Mass density ... 7281 kg/m³
E_tot ... -41.3 eV per cell

Entry 18:
A plane-wave DFT calculation with PBE-GGA was carried out for a geometry-optimized Li3TiSe structure.

Geometry as POSCAR:
```
Li3TiSe
1.0
4.7568 0.0000 0.0000
0.0000 4.7568 0.0000
0.0000 0.0000 4.7568
Li Se Ti
3 1 1
direct
0.0000 0.5000 0.0000
0.0000 0.0000 0.5000
0.5000 0.0000 0.0000
0.0000 0.0000 0.0000
0.5000 0.5000 0.5000
```

Output
Uncorrected formation energy ... 0.14 eV per atom
Space-group type ... Pm-3m, No. 221
Mass density ... 2278 kg/m³
E_tot ... -16.4 eV per cell

Entry 19:
A plane-wave DFT calculation with PBE-GGA was carried out for a geometry-optimized Ba2LiCaAg structure.

Geometry as POSCAR:
```
Ba2LiCaAg
1.0
-3.9017 -5.0618 -1.5656
-0.6170 -1.4970 6.3777
-4.1621 3.1072 0.3267
Ca Ba Ag Li
1 2 1 1
direct
0.5000 0.5000 0.5000
0.0000 0.5000 0.0000
0.5000 0.0000 0.0000
0.0000 0.0000 0.0000
0.0000 0.0000 0.5000
```

Output
Space-group type ... P4/mmm, No. 123
Mass density ... 3166 kg/m³
E_tot ... -10.5 eV per cell
Energy relative to the elements ... 0.02 eV/atom

Entry 20:
A plane-wave DFT calculation with PBE-GGA was carried out for a geometry-optimized Ca3Y2PuN6 structure.

Geometry as POSCAR:
```
Ca3Y2PuN6
1.0
6.0080 -0.0051 -0.0012
-3.0070 5.2014 -0.0012
-1.0020 -1.7350 5.6986
Ca Y Pu N
3 2 1 6
direct
0.1663 0.8337 0.5000
0.8337 0.1663 0.5000
0.5000 0.5000 0.5000
0.3326 0.6674 0.0000
0.6674 0.3326 0.0000
0.0000 0.0000 0.0000
0.9261 0.6172 0.7782
0.7682 0.7682 0.2130
0.0739 0.3828 0.2218
0.6172 0.9261 0.7782
0.2318 0.2318 0.7870
0.3828 0.0739 0.2218
```

Output
Uncorrected formation energy ... -1.29 eV per atom
Space-group type ... C2/m, No. 12
Mass density ... 5842 kg/m³
E_tot ... -98.7 eV per cell